Record 1
This record from Alexandria via LeMat-Bulk describes a geometry-optimized K2BaSr4 structure. The functional is GGA-PBE.

Calculated values
Formation enthalpy at 0 K (kJ/mol of atoms): 4
E_tot (eV per atom): -1.5043
Calculated density (g cm⁻³): 2.19
Calculated volume (Å³/f.u.): 428.3

Cell lengths 4.2848, 46.9080, 4.2617 Å; angles 90.00, 90.00, 90.00 degrees
Closest atoms and distances in Å follow each position.
Space group Cmmm (No. 65)
Unique sites:
1 K 0.0000 0.2068 0.0000 (multiplicity 4)  6 K 4.26-4.58, 4 Sr 4.58
2 Ba 0.0000 0.5000 0.5000 (multiplicity 2)  4 Ba 4.26-4.28, 8 Sr 4.42
3 Sr 0.0000 0.0687 0.0000 (multiplicity 4)  8 Sr 4.26-4.28, 4 Ba 4.42
4 Sr 0.0000 0.3666 0.5000 (multiplicity 4)  8 Sr 4.26-4.28, 4 K 4.58

---

Record 2
This record from Alexandria via LeMat-Bulk describes a geometry-optimized Li6Hg12Sb structure. The functional is GGA-PBE.

Calculated values
Formation energy from raw total energies (eV/atom): -0.227
E_tot (eV per atom): -1.2387
Calculated density (g cm⁻³): 10.15
Calculated volume (Å³/f.u.): 420.7

Cell lengths 10.5897, 10.5897, 12.9956 Å; angles 90.00, 90.00, 120.00 degrees
Closest atoms and distances in Å follow each position.
Space group R-3 (No. 148, hexagonal axes)
Unique sites:
1 Li 0.0337 0.5955 0.2103 (multiplicity 18)  6 Hg 2.86-3.20, 1 Sb 2.93, 2 Li 3.09
2 Hg 0.0589 0.2387 0.9232 (multiplicity 18)  3 Li 2.86-3.02, 4 Hg 3.01-3.18
3 Hg 0.0641 0.8717 0.2874 (multiplicity 18)  3 Li 2.92-3.20, 4 Hg 2.93-3.11
4 Sb 0.0000 0.0000 0.5000 (multiplicity 3)  6 Li 2.93

---

Record 3
This record from Alexandria via LeMat-Bulk describes a geometry-optimized TaFeMo2 structure. The functional is GGA-PBE.

Calculated values
Formation enthalpy at 0 K (kJ/mol of atoms): 0
Excess energy over the best structure of this formula in the dataset (meV/atom): 34.1
E_tot (eV per atom): -10.4895
Calculated density (g cm⁻³): 11.66
Calculated volume (Å³/f.u.): 61.0

Cell lengths 6.2503, 6.2503, 6.2503 Å; angles 90.00, 90.00, 90.00 degrees
Closest atoms and distances in Å follow each position.
Space group F-43m (No. 216)
Unique sites:
1 Ta 0.0000 0.0000 0.0000 (multiplicity 4)  4 Mo 2.71, 4 Fe 2.71
2 Fe 0.2500 0.2500 0.2500 (multiplicity 4)  4 Ta 2.71, 4 Mo 2.71
3 Mo 0.0000 0.0000 0.5000 (multiplicity 4)  4 Mo 2.71, 4 Fe 2.71
4 Mo 0.2500 0.2500 0.7500 (multiplicity 4)  4 Ta 2.71, 4 Mo 2.71

---

Record 4
This record from Alexandria via LeMat-Bulk describes a geometry-optimized YSc2Ta structure. The functional is GGA-PBE.

Calculated values
Formation enthalpy at 0 K (kJ/mol of atoms): 25
Excess energy over the best structure of this formula in the dataset (meV/atom): 99.7
E_tot (eV per atom): -7.4882
Calculated density (g cm⁻³): 6.09
Calculated volume (Å³/f.u.): 98.2

Cell lengths 3.6663, 3.6663, 7.3028 Å; angles 90.00, 90.00, 90.00 degrees
Closest atoms and distances in Å follow each position.
Space group P4mm (No. 99)
Unique sites:
1 Y 0.0000 0.0000 0.0000 (multiplicity 1)  5 Sc 3.18-3.54, 4 Ta 3.20
2 Sc 0.0000 0.0000 0.5640 (multiplicity 1)  4 Ta 2.90, 4 Sc 3.11, 1 Y 3.18
3 Sc 0.5000 0.5000 0.3295 (multiplicity 1)  1 Ta 3.02, 4 Sc 3.11
4 Ta 0.5000 0.5000 0.7433 (multiplicity 1)  5 Sc 2.90-3.02, 4 Y 3.20

---

Record 5
This record from Alexandria via LeMat-Bulk describes a geometry-optimized In7Sn structure. The functional is GGA-PBE.

Calculated values
Formation enthalpy at 0 K (kJ/mol of atoms): 2
E_tot (eV per atom): -2.8808
Calculated density (g cm⁻³): 7.00
Calculated volume (Å³/f.u.): 219.0

Cell lengths 9.5676, 9.5676, 9.5676 Å; angles 90.00, 90.00, 90.00 degrees
Closest atoms and distances in Å follow each position.
Space group Fm-3m (No. 225)
Unique sites:
1 In 0.0000 0.0000 0.0000 (multiplicity 4)  12 In 3.38
2 In 0.0000 0.2500 0.2500 (multiplicity 24)  10 In 3.38, 2 Sn 3.38
3 Sn 0.0000 0.0000 0.5000 (multiplicity 4)  12 In 3.38

---

Record 6
This record from Alexandria via LeMat-Bulk describes a geometry-optimized ZrFeAu3 structure. The functional is GGA-PBE.

Calculated values
Formation enthalpy at 0 K (kJ/mol of atoms): 52
E_tot (eV per atom): -4.8288
Calculated density (g cm⁻³): 11.40
Calculated volume (Å³/f.u.): 107.5

Cell lengths 4.7543, 4.7543, 4.7543 Å; angles 90.00, 90.00, 90.00 degrees
Closest atoms and distances in Å follow each position.
Space group Pm-3m (No. 221)
Unique sites:
1 Zr 0.0000 0.0000 0.0000 (multiplicity 1)  12 Au 3.36
2 Fe 0.5000 0.5000 0.5000 (multiplicity 1)  6 Au 2.38
3 Au 0.0000 0.5000 0.5000 (multiplicity 3)  2 Fe 2.38

---

Record 7
This record from Alexandria via LeMat-Bulk describes a geometry-optimized KCdCo structure. The functional is GGA-PBE.

Calculated values
Formation enthalpy at 0 K (kJ/mol of atoms): 125
Excess energy over the best structure of this formula in the dataset (meV/atom): 766.0
E_tot (eV per atom): -1.7405
Calculated density (g cm⁻³): 3.07
Calculated volume (Å³/f.u.): 113.7

Cell lengths 7.6910, 7.6910, 7.6910 Å; angles 90.00, 90.00, 90.00 degrees
Closest atoms and distances in Å follow each position.
Space group F-43m (No. 216)
Unique sites:
1 K 0.0000 0.0000 0.0000 (multiplicity 4)  4 Cd 3.33, 4 Co 3.33
2 Cd 0.2500 0.2500 0.7500 (multiplicity 4)  4 K 3.33
3 Co 0.2500 0.2500 0.2500 (multiplicity 4)  4 K 3.33

---

Record 8
This record from Alexandria via LeMat-Bulk describes a geometry-optimized NiTe2As structure. The functional is GGA-PBE.

Calculated values
Formation energy from raw total energies (eV/atom): 0.041
E_tot (eV per atom): -4.1376
Calculated density (g cm⁻³): 6.61
Calculated volume (Å³/f.u.): 97.6

Cell lengths 3.6524, 4.3766, 12.2170 Å; angles 90.00, 90.00, 90.00 degrees
Closest atoms and distances in Å follow each position.
Space group Immm (No. 71)
Unique sites:
1 Ni 0.0000 0.0000 0.0000 (multiplicity 2)  4 Te 2.61, 4 As 2.85
2 Te 0.0000 0.5000 0.3478 (multiplicity 4)  2 Ni 2.61, 2 As 2.87
3 As 0.0000 0.0000 0.5000 (multiplicity 2)  4 Ni 2.85, 4 Te 2.87

---

Record 9
This record from Alexandria via LeMat-Bulk describes a geometry-optimized HAuBr structure. The functional is GGA-PBE.

Calculated values
Excess energy over the best structure of this formula in the dataset (meV/atom): 93.2
E_tot (eV per atom): -2.7578
Calculated density (g cm⁻³): 5.47
Calculated volume (Å³/f.u.): 84.3

Cell lengths 5.1153, 5.2104, 6.7012 Å; angles 72.28, 83.72, 84.11 degrees
Closest atoms and distances in Å follow each position.
Space group P1 (No. 1)
Unique sites:
1 H 0.0000 0.0000 0.0000 (multiplicity 1)  1 H 0.89
2 H 0.1142 0.9861 0.0948 (multiplicity 1)  1 H 0.89
3 Au 0.2418 0.1349 0.4965 (multiplicity 1)  2 Br 2.42-2.46
4 Au 0.8657 0.1938 0.1689 (multiplicity 1)  2 H 1.71-1.78
5 Br 0.5273 0.4932 0.2907 (multiplicity 1)  2 Au 2.45-2.46
6 Br 0.9646 0.7922 0.7193 (multiplicity 1)  1 Au 2.42, 1 H 2.47

---

Record 10
This record from Alexandria via LeMat-Bulk describes a geometry-optimized Pm3InSb structure. The functional is GGA-PBE.

Calculated values
Formation energy from raw total energies (eV/atom): -0.480
E_tot (eV per atom): -4.7027
Calculated density (g cm⁻³): 7.17
Calculated volume (Å³/f.u.): 155.6

Cell lengths 4.6877, 22.1034, 6.0082 Å; angles 90.00, 90.00, 90.00 degrees
Closest atoms and distances in Å follow each position.
Space group Ama2 (No. 40)
Unique sites:
1 Pm 0.2500 0.0471 0.0000 (multiplicity 4)  2 Pm 3.14, 2 In 3.16, 1 Sb 3.32
2 Pm 0.2500 0.2322 0.2044 (multiplicity 4)  3 Sb 3.13-3.24, 3 In 3.23-3.40
3 Pm 0.2500 0.4272 0.0035 (multiplicity 4)  2 In 3.22-3.54, 2 Sb 3.29
4 In 0.2500 0.3572 0.5329 (multiplicity 4)  7 Pm 3.16-3.54, 2 Sb 3.26
5 Sb 0.2500 0.1671 0.6674 (multiplicity 4)  6 Pm 3.13-3.32, 2 In 3.26

---

Question: Which value of calculated volume does entry 2 give?
Answer: 420.7 Å³/f.u.

---

Question: The lowest calculated volume belongs to which entry?
Answer: TaFeMo2

---

Question: The lowest calculated volume belongs to which entry?
Answer: TaFeMo2

---

Question: Look up the calculated density of the seventh one.
Answer: 3.07 g cm⁻³